Entry 1:
This record from the Alexandria database describes a relaxed LiPaGa4 crystal. The functional is PBE.

a b c (Å): 3.0517 4.4536 8.2143
angles (deg): 90.00 90.00 90.00
Closest atoms and distances in Å follow each position.
Fractional coordinates of all 6 atoms:
Li 0.5000 0.5000 0.5000  12 Ga 2.98-3.04, 2 Li 3.05
Pa 0.5000 0.0000 0.0000  2 Pa 3.05, 12 Ga 3.07-3.22
Ga 0.0005 0.0000 0.6543  3 Ga 2.54-2.61
Ga 0.9998 0.5000 0.8207  2 Ga 2.61
Ga 0.9995 0.0000 0.3457  3 Ga 2.54-2.61
Ga 0.0002 0.5000 0.1793  2 Ga 2.61

**Spin magnetization**: 0.6 μB/cell
**Electronic total energy**: -4.20 eV per atom
**Energy relative to the elements**: -277 meV/atom
**Symmetry**: Pmmm (47)

---

Entry 2:
This record from the Alexandria database describes a relaxed Hf2Sn2S crystal. The functional is PBE.

a b c (Å): 6.7175 6.7175 4.8632
angles (deg): 90.00 90.00 90.00
Closest atoms and distances in Å follow each position.
Fractional coordinates of all 10 atoms:
S 0.0000 0.0000 0.0000  4 Hf 2.52
S 0.5000 0.5000 0.0000  4 Hf 2.52
Hf 0.3396 0.8396 0.0000  2 S 2.52
Hf 0.8396 0.6604 0.0000  2 S 2.52
Hf 0.6604 0.1604 0.0000  2 S 2.52
Hf 0.1604 0.3396 0.0000  2 S 2.52
Sn 0.1585 0.6585 0.5000  6 Hf 2.98-3.24, 1 Sn 3.01
Sn 0.6585 0.8415 0.5000  6 Hf 2.98-3.24, 1 Sn 3.01
Sn 0.8415 0.3415 0.5000  6 Hf 2.98-3.24, 1 Sn 3.01
Sn 0.3415 0.1585 0.5000  6 Hf 2.98-3.24, 1 Sn 3.01

**E_form (uncorrected)**: -0.50 eV per atom
**Spin magnetization**: 0.0 μB/cell
**Electronic total energy**: -6.91 eV per atom
**Symmetry**: P4/mbm (127)

---

Entry 3:
This record from the Alexandria database describes a relaxed CdNiMo2 crystal. The functional is PBE.

a b c (Å): 4.8186 4.8186 4.8186
angles (deg): 131.03 131.03 71.77
Closest atoms and distances in Å follow each position.
Fractional coordinates of all 4 atoms:
Cd 0.7500 0.2500 0.5000  8 Mo 2.79-2.82, 4 Ni 2.79
Mo 0.0000 0.0000 0.0000  4 Cd 2.79, 4 Mo 2.79, 4 Ni 2.82
Mo 0.2500 0.7500 0.5000  4 Ni 2.79, 4 Mo 2.79, 4 Cd 2.82
Ni 0.5000 0.5000 0.0000  8 Mo 2.79-2.82, 4 Cd 2.79

**Spin magnetization**: 0.0 μB/cell
**Electronic total energy**: -6.69 eV per atom
**Energy relative to the elements**: 402 meV/atom
**Symmetry**: I-4m2 (119)

---

Entry 4:
This record from the Alexandria database describes a relaxed Zn3InF crystal. The functional is PBE.

a b c (Å): 5.1024 5.1024 5.1024
angles (deg): 90.00 90.00 90.00
Closest atoms and distances in Å follow each position.
Fractional coordinates of all 5 atoms:
Zn 0.0000 0.5000 0.0000  2 In 2.55
Zn 0.0000 0.0000 0.5000  2 In 2.55
Zn 0.5000 0.0000 0.0000  2 In 2.55
F 0.5000 0.5000 0.5000  12 Zn 3.61
In 0.0000 0.0000 0.0000  6 Zn 2.55

**E_form (uncorrected)**: 0.01 eV per atom
**Spin magnetization**: 0.0 μB/cell
**Electronic total energy**: -1.67 eV per atom
**Symmetry**: Pm-3m (221)

---

Entry 5:
This record from the Alexandria database describes a relaxed ZrReNO2 crystal. The functional is PBE.

a b c (Å): 4.0371 4.0371 4.4398
angles (deg): 90.00 90.00 90.00
Closest atoms and distances in Å follow each position.
Fractional coordinates of all 5 atoms:
Re 0.5000 0.5000 0.5000  4 N 2.85, 8 O 3.00
O 0.0000 0.5000 0.0000  2 Zr 2.02
O 0.5000 0.0000 0.0000  2 Zr 2.02
Zr 0.0000 0.0000 0.0000  4 O 2.02, 2 N 2.22
N 0.0000 0.0000 0.5000  2 Zr 2.22

**E_form (uncorrected)**: -0.18 eV per atom
**Spin magnetization**: 4.0 μB/cell
**Electronic total energy**: -8.03 eV per atom
**Symmetry**: P4/mmm (123)

---

Entry 6:
This record from the Alexandria database describes a relaxed Ag12Se2F5 crystal. The functional is PBE.

a b c (Å): 5.0758 8.8325 8.8325
angles (deg): 64.55 71.46 71.46
Closest atoms and distances in Å follow each position.
Fractional coordinates of all 19 atoms:
Ag 0.0526 0.8295 0.8295  2 F 2.39-2.64
Ag 0.1492 0.5042 0.1148  2 F 2.42-2.52
Ag 0.1492 0.1148 0.5042  2 F 2.42-2.52
Ag 0.5729 0.6886 0.1009  2 F 2.44-2.63
Ag 0.5729 0.1009 0.6886  2 F 2.44-2.63
Ag 0.2925 0.4482 0.4482  1 F 2.33
Ag 0.7075 0.5518 0.5518  1 F 2.33
Ag 0.4271 0.3114 0.8991  2 F 2.44-2.63
Ag 0.4271 0.8991 0.3114  2 F 2.44-2.63
Ag 0.8508 0.4958 0.8852  2 F 2.42-2.52
Ag 0.8508 0.8852 0.4958  2 F 2.42-2.52
Ag 0.9474 0.1705 0.1705  2 F 2.39-2.64
Se 0.0000 0.2370 0.7630  6 Ag 2.73-2.85
Se 0.0000 0.7630 0.2370  6 Ag 2.73-2.85
F 0.4419 0.2215 0.2215  5 Ag 2.39-2.63
F 0.7811 0.3606 0.3606  3 Ag 2.33-2.52
F 0.5000 0.0000 0.0000  4 Ag 2.44
F 0.2189 0.6394 0.6394  3 Ag 2.33-2.52
F 0.5581 0.7785 0.7785  5 Ag 2.39-2.63

**E_form (uncorrected)**: -0.48 eV per atom
**Spin magnetization**: 0.0 μB/cell
**Electronic total energy**: -3.14 eV per atom
**Symmetry**: C2/m (12)

---

Entry 7:
This record from the Alexandria database describes a relaxed Sr2InHg16 crystal. The functional is PBE.

a b c (Å): 8.2956 8.2956 8.2956
angles (deg): 75.44 75.44 75.44
Closest atoms and distances in Å follow each position.
Fractional coordinates of all 19 atoms:
Sr 0.6407 0.6407 0.6407  15 Hg 3.58-3.77
Sr 0.3210 0.3210 0.3210  13 Hg 3.37-3.62
In 0.9418 0.9418 0.9418  10 Hg 3.05-3.28
Hg 0.6956 0.0037 0.3075  5 Hg 3.08-3.23, 1 In 3.28
Hg 0.0037 0.3075 0.6956  5 Hg 3.08-3.23, 1 In 3.28
Hg 0.3075 0.6956 0.0037  5 Hg 3.08-3.23, 1 In 3.28
Hg 0.0037 0.6956 0.3075  5 Hg 3.08-3.23, 1 In 3.28
Hg 0.6956 0.3075 0.0037  5 Hg 3.08-3.23, 1 In 3.28
Hg 0.3075 0.0037 0.6956  5 Hg 3.08-3.23, 1 In 3.28
Hg 0.3475 0.9030 0.3475  5 Hg 3.00-3.12
Hg 0.9030 0.3475 0.3475  5 Hg 3.00-3.12
Hg 0.3475 0.3475 0.9030  5 Hg 3.00-3.12
Hg 0.5942 0.2331 0.5942  6 Hg 3.04-3.26
Hg 0.2331 0.5942 0.5942  6 Hg 3.04-3.26
Hg 0.5942 0.5942 0.2331  6 Hg 3.04-3.26
Hg 0.9358 0.5766 0.9358  1 In 3.06, 4 Hg 3.21-3.26
Hg 0.5766 0.9358 0.9358  1 In 3.06, 4 Hg 3.21-3.26
Hg 0.9358 0.9358 0.5766  1 In 3.06, 4 Hg 3.21-3.26
Hg 0.1152 0.1152 0.1152  3 Hg 3.00, 1 In 3.05

**Spin magnetization**: 0.0 μB/cell
**Electronic total energy**: -0.74 eV per atom
**Energy relative to the elements**: -167 meV/atom
**Symmetry**: R3m (160)

---

Entry 8:
This record from the Alexandria database describes a relaxed BaZnSi2 crystal. The functional is PBE.

a b c (Å): 5.7502 5.7502 3.1375
angles (deg): 90.00 90.00 113.65
Closest atoms and distances in Å follow each position.
Fractional coordinates of all 4 atoms:
Ba 0.0000 0.5000 0.5000  2 Ba 3.14, 2 Zn 3.15, 8 Si 3.28
Si 0.0000 0.0000 0.0000  4 Si 3.14-3.15, 4 Zn 3.28, 4 Ba 3.28
Si 0.5000 0.5000 0.0000  4 Si 3.14-3.15, 4 Ba 3.28, 4 Zn 3.28
Zn 0.5000 0.0000 0.5000  2 Zn 3.14, 2 Ba 3.15, 8 Si 3.28

**E_form (uncorrected)**: 0.45 eV per atom
**Spin magnetization**: 0.0 μB/cell
**Electronic total energy**: -3.06 eV per atom
**Symmetry**: Cmmm (65)